An optimized crystal structure of Nd2DyCd6. Source: Alexandria via LeMat-Bulk, functional PBE-GGA. Values from VASP.

The structure in Quantum ESPRESSO input format:
```
&SYSTEM
  ibrav = 0, nat = 9, ntyp = 3
/
ATOMIC_SPECIES
Nd 144.24 Nd.upf
Dy 162.50 Dy.upf
Cd 112.41 Cd.upf
CELL_PARAMETERS angstrom
8.758 0.000 0.000
-4.379 7.584 0.000
0.000 0.000 3.443
ATOMIC_POSITIONS crystal
Nd 0.333 0.667 0.000
Nd 0.667 0.333 0.000
Dy 0.000 0.000 0.000
Cd 0.000 0.330 0.500
Cd 0.000 0.670 0.500
Cd 0.330 0.000 0.500
Cd 0.330 0.330 0.500
Cd 0.670 0.000 0.500
Cd 0.670 0.670 0.500
```

Properties
The calculation puts the formation energy at -333 meV per atom. As for the space group: P6/mmm, No. 191.